Density functional theory data (PBE-GGA) for a geometry-optimized CaAuCl2 structure.

Cell lengths 3.3177, 3.3177, 10.6487 Å; angles 90.00, 90.00, 89.90 degrees
Positions (direct):
Ca: 0.5000 0.5000 0.7500
Au: 0.5000 0.5000 0.2500
Cl: 0.0000 0.0000 0.8992
Cl: 0.0000 0.0000 0.6008

Results
* uncorrected energy: -3.419 eV per atom
* space-group type: Cmmm, No. 65
* E above lowest polymorph: 0.050 eV/atom
* E_form (uncorrected): -1176 meV per atom
* spin magnetization: 0.000 μB per cell